Record 1
A relaxed structure of Cs3CaCl, computed with PBE.

Structure (CIF):
```
data_Cs3CaCl
_symmetry_space_group_name_H-M 'P m -3 m'
_symmetry_Int_Tables_number 221
_symmetry_space_group_name_Hall '-P 4 2 3'
_cell_length_a 6.985
_cell_length_b 6.985
_cell_length_c 6.985
_cell_angle_alpha 90.00
_cell_angle_beta 90.00
_cell_angle_gamma 90.00
loop_
_atom_site_label
_atom_site_type_symbol
_atom_site_fract_x
_atom_site_fract_y
_atom_site_fract_z
_atom_site_occupancy
Cs1 Cs 0.000 0.000 0.500 1
Ca1 Ca 0.500 0.500 0.500 1
Cl1 Cl 0.000 0.000 0.000 1
```

Results
Its electronic total energy is -9.39 eV/cell. For the formation energy without anion corrections, the calculation gives -0.597 eV per atom. Its distance to the lowest polymorph of the same formula is 0.000 eV/atom.


Record 2
A relaxed structure of AcGdAl2, computed with PBE.

Structure (CIF):
```
data_AcGdAl2
_symmetry_space_group_name_H-M 'F m -3 m'
_symmetry_Int_Tables_number 225
_symmetry_space_group_name_Hall '-F 4 2 3'
_cell_length_a 7.600
_cell_length_b 7.600
_cell_length_c 7.600
_cell_angle_alpha 90.00
_cell_angle_beta 90.00
_cell_angle_gamma 90.00
loop_
_atom_site_label
_atom_site_type_symbol
_atom_site_fract_x
_atom_site_fract_y
_atom_site_fract_z
_atom_site_occupancy
Ac1 Ac 0.000 0.000 0.000 1
Gd1 Gd 0.000 0.000 0.500 1
Al1 Al 0.250 0.250 0.250 1
```

Results
Its electronic total energy is -107.03 eV/cell. Its distance to the lowest polymorph of the same formula is 0.033 eV/atom.


Record 3
A relaxed structure of ScIr2Pd, computed with PBE.

Structure (CIF):
```
data_ScIr2Pd
_symmetry_space_group_name_H-M 'I -4 2 d'
_symmetry_Int_Tables_number 122
_symmetry_space_group_name_Hall 'I -4 2bw'
_cell_length_a 3.839
_cell_length_b 3.839
_cell_length_c 18.744
_cell_angle_alpha 90.00
_cell_angle_beta 90.00
_cell_angle_gamma 90.00
loop_
_atom_site_label
_atom_site_type_symbol
_atom_site_fract_x
_atom_site_fract_y
_atom_site_fract_z
_atom_site_occupancy
Sc1 Sc 0.000 0.000 0.000 1
Ir1 Ir 0.223 0.250 0.625 1
Pd1 Pd 0.000 0.000 0.500 1
```

Results
Its electronic total energy is -118.94 eV/cell.


Record 4
A relaxed structure of CuPdPtO6, computed with PBE.

Structure (CIF):
```
data_CuPdPtO6
_symmetry_space_group_name_H-M 'P -3 1 c'
_symmetry_Int_Tables_number 163
_symmetry_space_group_name_Hall '-P 3 2c'
_cell_length_a 5.1698
_cell_length_b 5.1698
_cell_length_c 8.5537
_cell_angle_alpha 90.00
_cell_angle_beta 90.00
_cell_angle_gamma 120.00
loop_
_atom_site_label
_atom_site_type_symbol
_atom_site_fract_x
_atom_site_fract_y
_atom_site_fract_z
_atom_site_occupancy
Cu1 Cu 0.0000 0.0000 0.0000 1
Pd1 Pd 0.3333 0.6667 0.2500 1
Pt1 Pt 0.3333 0.6667 0.7500 1
O1 O 0.0027 0.3507 0.6221 1
```

Results
Its electronic total energy is -94.92 eV/cell. For the formation energy without anion corrections, the calculation gives -0.265 eV per atom.


Record 5
A relaxed structure of KPmPd4, computed with PBE.

Structure (CIF):
```
data_KPmPd4
_symmetry_space_group_name_H-M 'F -4 3 m'
_symmetry_Int_Tables_number 216
_symmetry_space_group_name_Hall 'F -4 2 3'
_cell_length_a 7.816
_cell_length_b 7.816
_cell_length_c 7.816
_cell_angle_alpha 90.00
_cell_angle_beta 90.00
_cell_angle_gamma 90.00
loop_
_atom_site_label
_atom_site_type_symbol
_atom_site_fract_x
_atom_site_fract_y
_atom_site_fract_z
_atom_site_occupancy
K1 K 0.000 0.000 0.000 1
Pm1 Pm 0.250 0.250 0.250 1
Pd1 Pd 0.125 0.125 0.625 1
```

Results
Its electronic total energy is -116.88 eV/cell.


Record 6
A relaxed structure of MgBrCl, computed with PBE.

Structure (CIF):
```
data_MgBrCl
_symmetry_space_group_name_H-M 'P -1'
_symmetry_Int_Tables_number 2
_symmetry_space_group_name_Hall '-P 1'
_cell_length_a 5.997
_cell_length_b 5.999
_cell_length_c 6.598
_cell_angle_alpha 93.80
_cell_angle_beta 92.28
_cell_angle_gamma 94.18
loop_
_atom_site_label
_atom_site_type_symbol
_atom_site_fract_x
_atom_site_fract_y
_atom_site_fract_z
_atom_site_occupancy
Mg1 Mg 0.001 0.000 0.254 1
Br1 Br 0.233 0.233 0.022 1
Cl1 Cl 0.197 0.802 0.495 1
```

Results
Its electronic total energy is -19.77 eV/cell. For the formation energy without anion corrections, the calculation gives -1.590 eV per atom. Its distance to the lowest polymorph of the same formula is 0.079 eV/atom.


Record 7
A relaxed structure of Ac2PuMgO8, computed with PBE.

Structure (CIF):
```
data_Ac2PuMgO8
_symmetry_space_group_name_H-M 'P -1'
_symmetry_Int_Tables_number 2
_symmetry_space_group_name_Hall '-P 1'
_cell_length_a 4.671
_cell_length_b 5.523
_cell_length_c 7.596
_cell_angle_alpha 85.15
_cell_angle_beta 88.65
_cell_angle_gamma 84.34
loop_
_atom_site_label
_atom_site_type_symbol
_atom_site_fract_x
_atom_site_fract_y
_atom_site_fract_z
_atom_site_occupancy
Ac1 Ac 0.100 0.011 0.239 1
Pu1 Pu 0.500 0.500 0.500 1
Mg1 Mg 0.500 0.500 0.000 1
O1 O 0.150 0.721 0.526 1
O2 O 0.224 0.792 0.985 1
O3 O 0.364 0.392 0.266 1
O4 O 0.373 0.223 0.655 1
```

Results
Its electronic total energy is -95.38 eV/cell. For the formation energy without anion corrections, the calculation gives -2.631 eV per atom.


Record 8
A relaxed structure of SrMn2AgTe4, computed with PBE.

Structure (CIF):
```
data_SrMn2AgTe4
_symmetry_space_group_name_H-M 'C m c m'
_symmetry_Int_Tables_number 63
_symmetry_space_group_name_Hall '-C 2c 2'
_cell_length_a 4.080
_cell_length_b 14.901
_cell_length_c 15.734
_cell_angle_alpha 90.00
_cell_angle_beta 90.00
_cell_angle_gamma 90.00
loop_
_atom_site_label
_atom_site_type_symbol
_atom_site_fract_x
_atom_site_fract_y
_atom_site_fract_z
_atom_site_occupancy
Sr1 Sr 0.000 0.185 0.250 1
Mn1 Mn 0.000 0.408 0.094 1
Ag1 Ag 0.000 0.122 0.750 1
Te1 Te 0.000 0.000 0.000 1
Te2 Te 0.000 0.222 0.601 1
Te3 Te 0.000 0.492 0.750 1
```

Results
Its electronic total energy is -155.04 eV/cell. For the formation energy without anion corrections, the calculation gives -0.415 eV per atom.


Record 9
A relaxed structure of YTl3Cl, computed with PBE.

Structure (CIF):
```
data_YTl3Cl
_symmetry_space_group_name_H-M 'P m -3 m'
_symmetry_Int_Tables_number 221
_symmetry_space_group_name_Hall '-P 4 2 3'
_cell_length_a 6.118
_cell_length_b 6.118
_cell_length_c 6.118
_cell_angle_alpha 90.00
_cell_angle_beta 90.00
_cell_angle_gamma 90.00
loop_
_atom_site_label
_atom_site_type_symbol
_atom_site_fract_x
_atom_site_fract_y
_atom_site_fract_z
_atom_site_occupancy
Y1 Y 0.000 0.000 0.000 1
Tl1 Tl 0.000 0.000 0.500 1
Cl1 Cl 0.500 0.500 0.500 1
```

Results
Its electronic total energy is -14.07 eV/cell. For the formation energy without anion corrections, the calculation gives 0.268 eV per atom. Its distance to the lowest polymorph of the same formula is 0.194 eV/atom.


Record 10
A relaxed structure of KZnSi2N, computed with PBE.

Structure (CIF):
```
data_KZnSi2N
_symmetry_space_group_name_H-M 'P 4/m m m'
_symmetry_Int_Tables_number 123
_symmetry_space_group_name_Hall '-P 4 2'
_cell_length_a 4.528
_cell_length_b 4.528
_cell_length_c 5.911
_cell_angle_alpha 90.00
_cell_angle_beta 90.00
_cell_angle_gamma 90.00
loop_
_atom_site_label
_atom_site_type_symbol
_atom_site_fract_x
_atom_site_fract_y
_atom_site_fract_z
_atom_site_occupancy
K1 K 0.000 0.000 0.000 1
Zn1 Zn 0.000 0.000 0.500 1
Si1 Si 0.000 0.500 0.500 1
N1 N 0.500 0.500 0.000 1
```

Results
Its electronic total energy is -13.53 eV/cell. For the formation energy without anion corrections, the calculation gives 1.603 eV per atom.


Record 11
A relaxed structure of NaSmSn2, computed with PBE.

Structure (CIF):
```
data_NaSmSn2
_symmetry_space_group_name_H-M 'P 4/m m m'
_symmetry_Int_Tables_number 123
_symmetry_space_group_name_Hall '-P 4 2'
_cell_length_a 3.417
_cell_length_b 3.417
_cell_length_c 9.507
_cell_angle_alpha 90.00
_cell_angle_beta 90.00
_cell_angle_gamma 90.00
loop_
_atom_site_label
_atom_site_type_symbol
_atom_site_fract_x
_atom_site_fract_y
_atom_site_fract_z
_atom_site_occupancy
Na1 Na 0.000 0.000 0.000 1
Sm1 Sm 0.000 0.000 0.500 1
Sn1 Sn 0.500 0.500 0.255 1
```

Results
Its electronic total energy is -15.68 eV/cell.


Record 12
A relaxed structure of Ca2ZrZn, computed with PBE.

Structure (CIF):
```
data_Ca2ZrZn
_symmetry_space_group_name_H-M 'P 4/m m m'
_symmetry_Int_Tables_number 123
_symmetry_space_group_name_Hall '-P 4 2'
_cell_length_a 5.558
_cell_length_b 5.558
_cell_length_c 3.600
_cell_angle_alpha 90.00
_cell_angle_beta 90.00
_cell_angle_gamma 90.00
loop_
_atom_site_label
_atom_site_type_symbol
_atom_site_fract_x
_atom_site_fract_y
_atom_site_fract_z
_atom_site_occupancy
Ca1 Ca 0.000 0.500 0.000 1
Zr1 Zr 0.000 0.000 0.500 1
Zn1 Zn 0.500 0.500 0.500 1
```

Results
Its electronic total energy is -12.53 eV/cell.


electronic total energy of number 4 (CuPdPtO6)? -94.92 eV/cell